# 1
A geometry-optimized Be2Tl2S structure, computed with GGA-PBE.

energy relative to the lowest polymorph listed for this composition = 0.000 eV/atom
raw total energy = -2.780 eV/atom
total magnetization = 0.00 μB per cell
space-group type = I4/mmm (139)
ΔE_f (raw) = 482 meV per atom

a = 3.3677 Å, b = 3.3677 Å, c = 9.3473 Å
α = 79.62°, β = 79.62°, γ = 90.00°
Element x y z (fractional)
Be: 0.7500 0.2500 0.5000
Be: 0.2500 0.7500 0.5000
Tl: 0.4002 0.4002 0.1997
Tl: 0.5998 0.5998 0.8003
S: 0.0000 0.0000 0.0000


# 2
A geometry-optimized Ce5NdSb3 structure, computed with GGA-PBE.

raw total energy = -5.864 eV/atom
total magnetization = 9.10 μB per cell
space-group type = P6_3/mcm (193)
ΔE_f (raw) = -664 meV per atom

a = 6.5071 Å, b = 9.4902 Å, c = 9.4902 Å
α = 120.00°, β = 90.00°, γ = 90.00°
Site moments in Bohr magnetons follow the coordinates.
Element x y z (fractional)
Ce: 0.0000 0.6667 0.3334  0.84
Ce: 0.5000 0.3333 0.6666  0.84
Ce: 0.0000 0.3333 0.6666  0.84
Ce: 0.5000 0.6667 0.3334  0.84
Ce: 0.7500 0.6597 0.6598  0.61
Ce: 0.7500 0.0000 0.3402  0.61
Ce: 0.7500 0.3403 0.0000  0.61
Ce: 0.2500 0.3403 0.3402  0.61
Ce: 0.2500 0.0000 0.6598  0.61
Ce: 0.2500 0.6597 0.0000  0.61
Nd: 0.0000 0.0000 0.0000  0.09
Nd: 0.5000 0.0000 0.0000  0.09
Sb: 0.7500 0.3294 0.3294  -0.02
Sb: 0.7500 0.0000 0.6706  -0.02
Sb: 0.7500 0.6706 0.0000  -0.02
Sb: 0.2500 0.6706 0.6706  -0.02
Sb: 0.2500 0.0000 0.3294  -0.02
Sb: 0.2500 0.3294 0.0000  -0.02


# 3
A geometry-optimized Mn4ReCl structure, computed with GGA-PBE.

raw total energy = -7.679 eV/atom
total magnetization = 7.09 μB per cell
space-group type = F-43m (216)
ΔE_f (raw) = 816 meV per atom

a = 4.8330 Å, b = 4.8330 Å, c = 4.8330 Å
α = 60.00°, β = 60.00°, γ = 60.00°
Site moments in Bohr magnetons follow the coordinates.
Element x y z (fractional)
Mn: 0.8732 0.3756 0.3756  1.86
Mn: 0.3756 0.3756 0.8732  1.86
Mn: 0.3756 0.8732 0.3756  1.86
Mn: 0.3756 0.3756 0.3756  1.86
Re: 0.7500 0.7500 0.7500  -0.69
Cl: 0.0000 0.0000 0.0000  0.14


# 4
A geometry-optimized Re3MoOs structure, computed with GGA-PBE.

energy relative to the lowest polymorph listed for this composition = 0.000 eV/atom
raw total energy = -11.750 eV/atom
total magnetization = 0.00 μB per cell
space-group type = P2_1/c (14)
ΔH_f (0 K) = 0.1309 eV per atom

a = 4.7779 Å, b = 5.2554 Å, c = 12.1279 Å
α = 90.00°, β = 88.92°, γ = 90.00°
Element x y z (fractional)
Re: 0.1679 0.6872 0.5558
Re: 0.3321 0.1872 0.9442
Re: 0.8321 0.3128 0.4442
Re: 0.6679 0.8128 0.0558
Re: 0.8410 0.0281 0.8648
Re: 0.6590 0.5281 0.6352
Re: 0.1590 0.9719 0.1352
Re: 0.3410 0.4719 0.3648
Re: 0.6768 0.8195 0.4501
Re: 0.8232 0.3195 0.0499
Re: 0.3232 0.1805 0.5499
Re: 0.1768 0.6805 0.9501
Mo: 0.3197 0.4613 0.1530
Mo: 0.1803 0.9613 0.3470
Mo: 0.6803 0.5387 0.8470
Mo: 0.8197 0.0387 0.6530
Os: 0.8374 0.6037 0.2515
Os: 0.6626 0.1037 0.2485
Os: 0.1626 0.3963 0.7485
Os: 0.3374 0.8963 0.7515


# 5
A geometry-optimized BaZn structure, computed with GGA-PBE.

raw total energy = -1.697 eV/atom
total magnetization = 0.00 μB per cell
space-group type = P2_12_12_1 (19)
ΔH_f (0 K) = -0.0985 eV per atom

a = 7.2764 Å, b = 7.5559 Å, c = 10.5340 Å
α = 90.00°, β = 90.00°, γ = 90.00°
Element x y z (fractional)
Ba: 0.8091 0.2439 0.0380
Ba: 0.3091 0.2561 0.9620
Ba: 0.1909 0.7439 0.4620
Ba: 0.6909 0.7561 0.5380
Ba: 0.1075 0.7526 0.8589
Ba: 0.6075 0.7474 0.1411
Ba: 0.8925 0.2526 0.6411
Ba: 0.3925 0.2474 0.3589
Zn: 0.1207 0.9246 0.1692
Zn: 0.6207 0.5754 0.8308
Zn: 0.8793 0.4246 0.3308
Zn: 0.3793 0.0754 0.6692
Zn: 0.3934 0.4246 0.6683
Zn: 0.8934 0.0754 0.3317
Zn: 0.6066 0.9246 0.8317
Zn: 0.1066 0.5754 0.1683


# 6
A geometry-optimized SmH6Pd7 structure, computed with GGA-PBE.

raw total energy = -4.623 eV/atom
total magnetization = 0.00 μB per cell
space-group type = R3 (146)

a = 5.0946 Å, b = 5.0946 Å, c = 7.8874 Å
α = 71.16°, β = 71.16°, γ = 60.00°
Element x y z (fractional)
Sm: 0.9980 0.9980 0.0060
H: 0.7332 0.0906 0.7609
H: 0.5763 0.2506 0.2534
H: 0.9196 0.5763 0.2534
H: 0.0906 0.4154 0.7609
H: 0.4154 0.7332 0.7609
H: 0.2507 0.9196 0.2534
Pd: 0.8846 0.2231 0.3423
Pd: 0.4469 0.1049 0.6705
Pd: 0.7777 0.4469 0.6705
Pd: 0.6646 0.6646 0.0061
Pd: 0.2231 0.5500 0.3423
Pd: 0.5500 0.8846 0.3423
Pd: 0.1049 0.7777 0.6705


# 7
A geometry-optimized Tm2AlNi7 structure, computed with GGA-PBE.

raw total energy = -5.165 eV/atom
total magnetization = 0.14 μB per cell
space-group type = Fm-3m (225)
ΔH_f (0 K) = 0.1506 eV per atom

a = 6.1227 Å, b = 6.1227 Å, c = 6.1227 Å
α = 60.00°, β = 60.00°, γ = 60.00°
Site moments in Bohr magnetons follow the coordinates.
Element x y z (fractional)
Tm: 0.2500 0.2500 0.2500  0.00
Tm: 0.7500 0.7500 0.7500  0.00
Al: 0.0000 0.0000 0.0000  0.00
Ni: 0.5000 0.5000 0.5000  0.08
Ni: 0.2486 0.7514 0.7514  0.01
Ni: 0.2486 0.7514 0.2486  0.01
Ni: 0.7514 0.2486 0.7514  0.01
Ni: 0.7514 0.7514 0.2486  0.01
Ni: 0.2486 0.2486 0.7514  0.01
Ni: 0.7514 0.2486 0.2486  0.01


# 8
A geometry-optimized LiPt2Se2 structure, computed with GGA-PBE.

energy relative to the lowest polymorph listed for this composition = 0.154 eV/atom
raw total energy = -4.351 eV/atom
total magnetization = 0.00 μB per cell
space-group type = I4/mmm (139)
ΔE_f (raw) = -158 meV per atom

a = 3.9232 Å, b = 3.9232 Å, c = 6.8753 Å
α = 73.42°, β = 73.42°, γ = 90.00°
Element x y z (fractional)
Se: 0.3916 0.3916 0.2168
Se: 0.6084 0.6084 0.7832
Pt: 0.7500 0.2500 0.5000
Pt: 0.2500 0.7500 0.5000
Li: 0.0000 0.0000 0.0000


# 9
A geometry-optimized MgTaPd3 structure, computed with GGA-PBE.

energy relative to the lowest polymorph listed for this composition = 0.165 eV/atom
raw total energy = -5.048 eV/atom
total magnetization = 0.00 μB per cell
space-group type = Pm-3m (221)
ΔH_f (0 K) = 0.7575 eV per atom

a = 4.5030 Å, b = 4.5030 Å, c = 4.5030 Å
α = 90.00°, β = 90.00°, γ = 90.00°
Element x y z (fractional)
Mg: 0.0000 0.0000 0.0000
Pd: 0.0000 0.5000 0.0000
Pd: 0.0000 0.0000 0.5000
Pd: 0.5000 0.0000 0.0000
Ta: 0.5000 0.5000 0.5000


# 10
A geometry-optimized LiNb2NiPd structure, computed with GGA-PBE.

raw total energy = -5.404 eV/atom
total magnetization = 0.00 μB per cell
space-group type = P4/mmm (123)
ΔH_f (0 K) = 1.2017 eV per atom

a = 4.8302 Å, b = 4.6981 Å, c = 4.8302 Å
α = 90.00°, β = 90.00°, γ = 90.00°
Element x y z (fractional)
Ni: 0.0000 0.5000 0.0000
Nb: 0.0000 0.0000 0.5000
Nb: 0.5000 0.0000 0.0000
Pd: 0.0000 0.0000 0.0000
Li: 0.5000 0.5000 0.5000


# 11
A geometry-optimized Li7CaCu5 structure, computed with GGA-PBE.

raw total energy = -2.818 eV/atom
total magnetization = 0.00 μB per cell
space-group type = Imm2 (44)
ΔH_f (0 K) = -0.0579 eV per atom

a = 4.9967 Å, b = 6.8704 Å, c = 6.8704 Å
α = 82.22°, β = 68.68°, γ = 68.68°
Element x y z (fractional)
Li: 0.6637 0.3363 0.3363
Li: 0.3554 0.6446 0.6446
Li: 0.9901 0.3619 0.6579
Li: 0.9901 0.6579 0.3619
Li: 0.2721 0.2279 0.2279
Li: 0.4991 0.7853 0.2164
Li: 0.4991 0.2164 0.7853
Ca: 0.0226 0.9774 0.9774
Cu: 0.4960 0.9972 0.5103
Cu: 0.9965 0.9972 0.5103
Cu: 0.4960 0.5103 0.9972
Cu: 0.9965 0.5103 0.9972
Cu: 0.7227 0.7773 0.7773


# 12
A geometry-optimized TlGe2P structure, computed with GGA-PBE.

energy relative to the lowest polymorph listed for this composition = 0.032 eV/atom
raw total energy = -4.027 eV/atom
total magnetization = 0.00 μB per cell
space-group type = R-3m (166)
ΔH_f (0 K) = 0.2254 eV per atom

a = 3.4741 Å, b = 3.4741 Å, c = 9.3553 Å
α = 79.30°, β = 79.30°, γ = 60.00°
Element x y z (fractional)
P: 0.5000 0.5000 0.5000
Tl: 0.0000 0.0000 0.0000
Ge: 0.1103 0.1103 0.6691
Ge: 0.8897 0.8897 0.3309


# 13
A geometry-optimized YFeAg2 structure, computed with GGA-PBE.

raw total energy = -5.061 eV/atom
total magnetization = 2.42 μB per cell
space-group type = P4mm (99)
ΔH_f (0 K) = 0.0960 eV per atom

a = 3.4819 Å, b = 3.4903 Å, c = 6.4043 Å
α = 90.00°, β = 90.00°, γ = 90.00°
Site moments in Bohr magnetons follow the coordinates.
Element x y z (fractional)
Ag: 0.0000 0.0000 0.0308  0.00
Ag: 0.5000 0.5000 0.2633  0.01
Fe: 0.0000 0.0000 0.4666  2.80
Y: 0.5000 0.5000 0.7392  -0.22